1.
{
  "formula": "NaLiOs3",
  "functional": "SCAN",
  "state": "PBEsol geometry",
  "lattice": [[-1.185, 3.307, 2.778], [-4.263, -0.435, -1.300], [-0.690, -2.988, 3.263]],
  "species": ["Na", "Os", "Os", "Os", "Li"],
  "fractional_positions": [[0.000, 0.000, 0.000], [0.000, 0.500, 0.000], [0.000, 0.000, 0.500], [0.500, 0.000, 0.000], [0.500, 0.500, 0.500]]
}



2.
{
  "formula": "NaLi2TcOs",
  "functional": "SCAN",
  "state": "PBEsol geometry",
  "lattice": [[4.488, 0.000, 0.000], [0.000, 4.976, 0.000], [0.000, 0.000, 4.976]],
  "species": ["Na", "Os", "Tc", "Li", "Li"],
  "fractional_positions": [[0.500, 0.500, 0.500], [0.500, 0.000, 0.000], [0.000, 0.000, 0.000], [0.000, 0.000, 0.500], [0.000, 0.500, 0.000]]
}



3.
{
  "formula": "NaLi3P",
  "functional": "SCAN",
  "state": "PBEsol geometry",
  "lattice": [[-0.849, 0.118, -4.660], [1.944, -4.297, -0.463], [-4.237, -1.995, 0.721]],
  "species": ["P", "Li", "Li", "Li", "Na"],
  "fractional_positions": [[0.000, 0.000, 0.000], [0.000, 0.500, 0.000], [0.000, 0.000, 0.500], [0.500, 0.000, 0.000], [0.500, 0.500, 0.500]]
}



no.,final energy (eV/atom)
1,-41.363
2,-22.177
3,-4.756